Record 1
Below is a geometry-optimized ZnPd2Au6 structure, with properties calculated at the PBE-GGA level.

a = 6.2329 Å, b = 6.2329 Å, c = 6.2329 Å
α = 134.78°, β = 102.10°, γ = 94.93°
Last column: nearest neighbours and their distance in Å.
Fractional coordinates of all 9 atoms:
Zn (0.0000, 0.0000, 0.0000)  2 Pd 2.73, 8 Au 2.79-2.85
Pd (0.3236, 0.3236, 0.0000)  1 Zn 2.73, 8 Au 2.80-2.90, 1 Pd 2.97
Pd (0.6764, 0.6764, 0.0000)  1 Zn 2.73, 8 Au 2.80-2.90, 1 Pd 2.97
Au (0.1506, 0.8341, 0.3165)  7 Au 2.80-2.97, 3 Pd 2.80-2.81, 1 Zn 2.85
Au (0.1830, 0.5000, 0.6830)  2 Zn 2.79, 7 Au 2.82-2.97, 2 Pd 2.90
Au (0.4824, 0.1659, 0.3165)  7 Au 2.80-2.97, 3 Pd 2.80-2.81, 1 Zn 2.85
Au (0.5176, 0.8341, 0.6835)  7 Au 2.80-2.97, 3 Pd 2.80-2.81, 1 Zn 2.85
Au (0.8170, 0.5000, 0.3170)  2 Zn 2.79, 7 Au 2.82-2.97, 2 Pd 2.90
Au (0.8494, 0.1659, 0.6835)  7 Au 2.80-2.97, 3 Pd 2.80-2.81, 1 Zn 2.85

Values from the calculation:
Offset from the most stable computed form ... 0.024 eV per atom
ΔH_f (0 K) ... -0.069 eV/atom
Symmetry ... Immm

***

Record 2
Below is a geometry-optimized Mo2RhAu structure, with properties calculated at the PBE-GGA level.

a = 4.9673 Å, b = 4.9673 Å, c = 4.6568 Å
α = 101.32°, β = 101.32°, γ = 34.54°
Last column: nearest neighbours and their distance in Å.
Fractional coordinates of all 4 atoms:
Mo (0.2457, 0.2457, 0.2242)  2 Mo 2.57, 3 Rh 2.77-2.82
Mo (0.7543, 0.7543, 0.7758)  2 Mo 2.57, 3 Rh 2.77-2.82
Rh (0.5000, 0.5000, 0.0000)  4 Au 2.76, 6 Mo 2.77-2.82, 2 Rh 2.95
Au (0.0000, 0.0000, 0.5000)  4 Rh 2.76, 6 Mo 2.88-2.89, 2 Au 2.95

Values from the calculation:
Offset from the most stable computed form ... 0.117 eV per atom
ΔH_f (0 K) ... 0.156 eV/atom
Symmetry ... C2/m

***

Record 3
Below is a geometry-optimized GaMoS2 structure, with properties calculated at the PBE-GGA level.

a = 6.7354 Å, b = 6.7354 Å, c = 6.7354 Å
α = 124.75°, β = 124.75°, γ = 81.96°
Last column: nearest neighbours and their distance in Å.
Fractional coordinates of all 8 atoms:
Ga (0.0000, 0.0000, 0.0000)  4 S 2.86
Ga (0.7500, 0.2500, 0.5000)  4 S 2.86
Mo (0.2500, 0.7500, 0.5000)  4 S 2.29
Mo (0.5000, 0.5000, 0.0000)  4 S 2.29
S (0.2007, 0.6250, 0.0757)  2 Mo 2.29
S (0.3750, 0.4507, 0.5757)  2 Mo 2.29
S (0.5493, 0.1250, 0.9243)  2 Mo 2.29
S (0.8750, 0.7993, 0.4243)  2 Mo 2.29

Values from the calculation:
Uncorrected formation energy ... -0.090 eV per atom
Symmetry ... I-42d

***

Which uncorrected energy belongs to each record? In order, -31.944, -31.666, -44.949 eV per cell.
Which DOS(E_F) belongs to each record? In order, 0.289, 0.885, 0.808 states/eV/atom.